1.
## TaGa3P (PBEsol)

Data for a geometry-optimized TaGa3P structure.

Unit cell a=4.962 b=4.962 c=4.962 alpha=90.00 beta=90.00 gamma=90.00
Positions (direct):
1 Ta 0.000 0.000 0.000
2 Ga 0.000 0.000 0.500
3 Ga 0.000 0.500 0.000
4 Ga 0.500 0.000 0.000
5 P 0.500 0.500 0.500

total magnetization: 0.00 μB/f.u.
density: 5.725 g/cm3
energy of formation: 5.48 eV/f.u.
space group: Pm-3m



2.
## LaSiNi2 (PBEsol)

Data for a geometry-optimized LaSiNi2 structure.

Unit cell a=4.423 b=4.423 c=3.247 alpha=90.00 beta=90.00 gamma=90.00
Positions (direct):
1 La 0.000 0.000 0.000
2 Si 0.500 0.500 0.000
3 Ni 0.000 0.500 0.500
4 Ni 0.500 0.000 0.500

total magnetization: 0.00 μB/f.u.
density: 7.434 g/cm3
space group: P4/mmm



3.
## LaSiHI2 (PBEsol)

Data for a geometry-optimized LaSiHI2 structure.

Unit cell a=5.715 b=5.715 c=3.718 alpha=90.00 beta=90.00 gamma=90.00
Positions (direct):
1 La 0.000 0.000 0.000
2 Si 0.500 0.500 0.500
3 H 0.500 0.500 0.000
4 I 0.000 0.500 0.500
5 I 0.500 0.000 0.500

total magnetization: 0.00 μB/f.u.
density: 5.768 g/cm3
space group: P4/mmm



4.
## MgAg2 (PBEsol)

Data for a geometry-optimized MgAg2 structure.

Unit cell a=8.881 b=4.887 c=4.763 alpha=90.00 beta=90.00 gamma=90.00
Positions (direct):
1 Mg 0.000 0.204 0.250
2 Mg 0.000 0.796 0.750
3 Mg 0.500 0.296 0.750
4 Mg 0.500 0.704 0.250
5 Ag 0.166 0.308 0.750
6 Ag 0.166 0.692 0.250
7 Ag 0.334 0.192 0.250
8 Ag 0.334 0.808 0.750
9 Ag 0.666 0.192 0.250
10 Ag 0.666 0.808 0.750
11 Ag 0.834 0.308 0.750
12 Ag 0.834 0.692 0.250

distance to the lowest polymorph of the same formula: 0.01 eV per formula unit
total magnetization: 0.00 μB/f.u.
density: 7.714 g/cm3
energy of formation: -0.56 eV/f.u.
space group: Cmcm



5.
## GaPbO2F (PBEsol)

Data for a geometry-optimized GaPbO2F structure.

Unit cell a=4.200 b=4.200 c=4.462 alpha=90.00 beta=90.00 gamma=90.00
Positions (direct):
1 Ga 0.000 0.000 0.000
2 Pb 0.500 0.500 0.500
3 O 0.000 0.500 0.500
4 O 0.500 0.000 0.500
5 F 0.500 0.500 0.000

total magnetization: 0.00 μB/f.u.
density: 6.918 g/cm3
space group: P4/mmm



6.
## Ba2TaP (PBEsol)

Data for a geometry-optimized Ba2TaP structure.

Unit cell a=7.478 b=7.478 c=7.478 alpha=90.00 beta=90.00 gamma=90.00
Positions (direct):
1 Ba 0.000 0.000 0.000
2 Ba 0.000 0.500 0.500
3 Ba 0.250 0.250 0.250
4 Ba 0.250 0.750 0.750
5 Ba 0.500 0.000 0.500
6 Ba 0.500 0.500 0.000
7 Ba 0.750 0.250 0.750
8 Ba 0.750 0.750 0.250
9 Ta 0.250 0.250 0.750
10 Ta 0.250 0.750 0.250
11 Ta 0.750 0.250 0.250
12 Ta 0.750 0.750 0.750
13 P 0.000 0.000 0.500
14 P 0.000 0.500 0.000
15 P 0.500 0.000 0.000
16 P 0.500 0.500 0.500

total magnetization: 2.10 μB/f.u.
density: 7.727 g/cm3
energy of formation: 3.12 eV/f.u.
space group: F-43m



7.
## ZrTiPdCl2 (PBEsol)

Data for a geometry-optimized ZrTiPdCl2 structure.

Unit cell a=4.644 b=4.644 c=4.959 alpha=90.00 beta=90.00 gamma=90.00
Positions (direct):
1 Zr 0.000 0.000 0.000
2 Ti 0.500 0.500 0.000
3 Pd 0.500 0.500 0.500
4 Cl 0.000 0.500 0.500
5 Cl 0.500 0.000 0.500

total magnetization: 0.70 μB/f.u.
density: 4.913 g/cm3
space group: P4/mmm



8.
## CoSbPt2 (PBEsol)

Data for a geometry-optimized CoSbPt2 structure.

Unit cell a=2.935 b=2.935 c=25.863 alpha=90.00 beta=90.00 gamma=120.00
Positions (direct):
1 Co 0.000 0.000 0.000
2 Co 0.333 0.667 0.667
3 Co 0.667 0.333 0.333
4 Sb 0.000 0.000 0.500
5 Sb 0.333 0.667 0.167
6 Sb 0.667 0.333 0.833
7 Pt 0.000 0.000 0.258
8 Pt 0.000 0.000 0.742
9 Pt 0.333 0.667 0.409
10 Pt 0.333 0.667 0.924
11 Pt 0.667 0.333 0.076
12 Pt 0.667 0.333 0.591

total magnetization: 2.38 μB/f.u.
density: 14.744 g/cm3
space group: R-3m



no.,VASP energy (eV/cell)
1,-22.88
2,-23.85
3,-18.73
4,-35.58
5,-23.96
6,-78.07
7,-24.84
8,-76.06